An optimized crystal structure of TiTl3S. Source: Alexandria via LeMat-Bulk, functional PBE.

Calculated values
Symmetry = Pm-3m, No. 221
E above lowest polymorph = 0.215 eV per atom
DFT total energy = -2.988 eV per atom
E_form (uncorrected) = 80.7 kJ per mole of atoms

a = 5.393 Å, b = 5.393 Å, c = 5.393 Å
α = 90.00°, β = 90.00°, γ = 90.00°
Fractional positions:
Ti 0.000 0.000 0.000
Tl 0.000 0.500 0.500
Tl 0.500 0.000 0.500
Tl 0.500 0.500 0.000
S 0.500 0.500 0.500